(1)
Li5MnNi4O10, relaxed, DFT GGA+U; final energy = -5.249 eV/atom
1.0
2.912 -0.001 -0.005
-1.428 6.348 -0.001
0.241 -1.911 9.531
Li Mn Ni O
5 1 4 10
Direct
0.695 0.406 0.603 Li
0.500 0.000 0.000 Li
0.305 0.594 0.397 Li
0.093 0.204 0.808 Li
0.907 0.796 0.192 Li
0.000 0.000 0.500 Mn
0.384 0.794 0.702 Ni
0.616 0.206 0.298 Ni
0.783 0.597 0.900 Ni
0.217 0.403 0.100 Ni
0.533 0.089 0.633 O
0.361 0.680 0.043 O
0.639 0.320 0.957 O
0.797 0.496 0.239 O
0.467 0.911 0.367 O
0.860 0.722 0.552 O
0.914 0.876 0.847 O
0.140 0.278 0.448 O
0.203 0.504 0.761 O
0.086 0.124 0.153 O

---

(2)
Li3Mn2Ni2O8, relaxed, DFT GGA+U; final energy = -5.849 eV/atom
1.0
-2.313 -1.993 -4.876
4.695 -2.695 2.263
-5.188 -0.526 2.679
Li Mn Ni O
3 2 2 8
Direct
0.000 0.500 0.000 Li
0.000 0.500 0.500 Li
0.500 0.000 0.500 Li
0.500 0.000 0.000 Mn
0.000 0.000 0.000 Mn
0.500 0.500 0.000 Ni
0.500 0.500 0.500 Ni
0.753 0.013 0.228 O
0.756 0.538 0.783 O
0.710 0.453 0.211 O
0.255 0.005 0.224 O
0.745 0.995 0.776 O
0.290 0.547 0.789 O
0.244 0.462 0.217 O
0.247 0.987 0.772 O

---

(3)
Li4MnNi5O12, relaxed, DFT GGA+U; final energy = -5.150 eV/atom
1.0
-4.441 1.821 -1.105
0.472 -2.815 4.014
3.437 8.420 4.327
Li Mn Ni O
4 1 5 12
Direct
0.261 0.915 0.754 Li
0.085 0.739 0.246 Li
0.916 0.260 0.754 Li
0.740 0.084 0.246 Li
0.001 0.999 0.000 Mn
0.166 0.834 0.500 Ni
0.666 0.334 0.000 Ni
0.335 0.665 0.000 Ni
0.833 0.167 0.500 Ni
0.499 0.501 0.500 Ni
0.350 0.007 0.109 O
0.993 0.650 0.891 O
0.463 0.823 0.396 O
0.822 0.465 0.396 O
0.177 0.537 0.604 O
0.897 0.898 0.604 O
0.535 0.178 0.604 O
0.008 0.348 0.109 O
0.710 0.708 0.102 O
0.652 0.992 0.891 O
0.292 0.290 0.898 O
0.102 0.103 0.396 O

---

(4)
Li9Mn12Ni3O32, relaxed, DFT GGA+U; final energy = -6.458 eV/atom
1.0
-3.050 5.038 -5.841
-7.408 -0.160 3.727
2.148 6.588 4.559
Li Mn Ni O
9 12 3 32
Direct
0.874 0.880 0.372 Li
0.628 0.120 0.126 Li
0.622 0.622 0.622 Li
0.378 0.378 0.378 Li
0.372 0.874 0.880 Li
0.126 0.628 0.120 Li
0.120 0.126 0.628 Li
0.000 0.000 0.000 Li
0.880 0.372 0.874 Li
0.754 0.500 0.246 Mn
0.752 0.749 0.996 Mn
0.749 0.996 0.752 Mn
0.503 0.497 0.000 Mn
0.500 0.246 0.754 Mn
0.497 0.000 0.503 Mn
0.251 0.248 0.004 Mn
0.248 0.004 0.251 Mn
0.246 0.754 0.500 Mn
0.004 0.251 0.248 Mn
0.000 0.503 0.497 Mn
0.996 0.752 0.749 Mn
0.751 0.249 0.500 Ni
0.500 0.751 0.249 Ni
0.249 0.500 0.751 Ni
0.772 0.267 0.252 O
0.767 0.498 0.478 O
0.760 0.760 0.760 O
0.747 0.975 0.980 O
0.748 0.733 0.228 O
0.739 0.509 0.011 O
0.733 0.228 0.748 O
0.727 0.002 0.516 O
0.522 0.502 0.233 O
0.516 0.727 0.002 O
0.509 0.011 0.739 O
0.502 0.233 0.522 O
0.498 0.478 0.767 O
0.491 0.261 0.989 O
0.484 0.998 0.273 O
0.478 0.767 0.498 O
0.273 0.484 0.998 O
0.267 0.252 0.772 O
0.261 0.989 0.491 O
0.252 0.772 0.267 O
0.253 0.020 0.025 O
0.240 0.240 0.240 O
0.233 0.522 0.502 O
0.228 0.748 0.733 O
0.025 0.253 0.020 O
0.020 0.025 0.253 O
0.011 0.739 0.509 O
0.002 0.516 0.727 O
0.998 0.273 0.484 O
0.989 0.491 0.261 O
0.980 0.747 0.975 O
0.975 0.980 0.747 O

---

(5)
Li3MnNi2O6, relaxed, DFT GGA+U; E above lowest polymorph = 0.0 meV/atom
1.0
-1.217 -2.328 1.211
1.661 -3.266 -4.607
5.611 0.653 3.439
Li Mn Ni O
3 1 2 6
Direct
0.500 0.500 0.000 Li
0.169 0.828 0.337 Li
0.831 0.172 0.663 Li
0.500 0.000 0.000 Mn
0.168 0.338 0.336 Ni
0.832 0.662 0.664 Ni
0.655 0.090 0.309 O
0.345 0.910 0.691 O
0.333 0.430 0.667 O
0.667 0.570 0.333 O
0.002 0.779 0.004 O
0.998 0.221 0.996 O

---

(6)
Li3Mn3NiO8, relaxed, DFT GGA+U; E above lowest polymorph = 0.0 meV/atom
1.0
5.797 -0.006 0.002
-0.032 5.885 0.003
-2.871 -2.926 4.311
Li Mn Ni O
3 3 1 8
Direct
0.000 0.500 0.000 Li
0.500 0.500 0.000 Li
0.000 0.000 0.500 Li
0.500 0.500 0.500 Mn
0.500 0.000 0.000 Mn
0.000 0.500 0.500 Mn
0.000 0.000 0.000 Ni
0.716 0.741 0.956 O
0.235 0.740 0.947 O
0.243 0.276 0.495 O
0.762 0.290 0.520 O
0.238 0.710 0.480 O
0.757 0.724 0.505 O
0.765 0.260 0.053 O
0.284 0.259 0.044 O

---

What is the formula in the fifth record? Li3MnNi2O6